LuNiAsIr: optimized geometry, PBE-GGA.

Cell lengths 4.5485, 4.5485, 4.5485 Å; angles 60.00, 60.00, 60.00 degrees
Positions (direct):
Ir 0.5000 0.5000 0.5000
Lu 0.2500 0.2500 0.2500
Ni 0.7500 0.7500 0.7500
As 0.0000 0.0000 0.0000

Summary:
final energy = -24.3 eV per formula unit
total magnetization = 0.0057 μB per atom
space group = F-43m (216)
crystal system = cubic